1.
Density functional theory data (GGA-PBE) for a geometry-optimized RbCdGe structure.

Values from the calculation:
Its crystal system is monoclinic. The value obtained for the size of the total moment is 0.0 μB per formula unit. The value obtained for the calculated formation energy is -0.0664 eV per atom. The value obtained for the total energy is -2.233 eV/atom.

a b c (Å): 6.8555 6.8555 8.7018
angles (deg): 122.89 122.89 35.51
Last column: nearest neighbours and their distance in Å.
Element x y z (fractional)
1 Rb 0.0000 0.0000 0.0000  4 Cd 3.56-3.88, 5 Ge 3.78-3.86, 1 Rb 3.85
2 Rb 0.1550 0.1550 0.7339  5 Cd 3.69-4.00, 4 Ge 3.81-3.87, 1 Rb 3.85
3 Cd 0.3748 0.3748 0.5505  1 Ge 2.73, 2 Cd 2.94
4 Cd 0.6826 0.6826 0.4000  2 Ge 2.80-2.93, 2 Cd 2.94
5 Ge 0.4371 0.4371 0.2998  2 Ge 2.61, 2 Cd 2.73-2.80
6 Ge 0.7923 0.7923 0.1851  2 Ge 2.61



2.
Density functional theory data (GGA-PBE) for a geometry-optimized Hf2CrOs structure.

Values from the calculation:
Its crystal system is tetragonal. The value obtained for the size of the total moment is 3.2 μB per formula unit. The value obtained for the calculated formation energy is 0.4400 eV per atom. The value obtained for the total energy is -9.750 eV/atom.

a b c (Å): 5.9124 5.9124 5.9124
angles (deg): 104.01 104.01 121.06
Last column: nearest neighbours and their distance in Å.
Element x y z (fractional)
1 Hf 0.1052 0.6250 0.9802  2 Os 2.58, 2 Cr 2.77
2 Hf 0.3750 0.3552 0.4802  2 Os 2.58, 2 Cr 2.77
3 Hf 0.6448 0.1250 0.0198  2 Os 2.58, 2 Cr 2.77
4 Hf 0.8750 0.8948 0.5198  2 Os 2.58, 2 Cr 2.77
5 Cr 0.2500 0.7500 0.5000  4 Hf 2.77, 2 Os 2.91
6 Cr 0.5000 0.5000 0.0000  4 Hf 2.77, 2 Os 2.91
7 Os 0.0000 0.0000 0.0000  4 Hf 2.58
8 Os 0.7500 0.2500 0.5000  4 Hf 2.58



> The highest calculated formation energy belongs to which entry?

Hf2CrOs



> Which value of calculated formation energy does entry 1 give?

-0.0664 eV per atom



What did the second record say?
Density functional theory data (GGA-PBE) for a geometry-optimized Hf2CrOs structure.

Values from the calculation:
Its crystal system is tetragonal. The value obtained for the size of the total moment is 3.2 μB per formula unit. The value obtained for the calculated formation energy is 0.4400 eV per atom. The value obtained for the total energy is -9.750 eV/atom.

a b c (Å): 5.9124 5.9124 5.9124
angles (deg): 104.01 104.01 121.06
Last column: nearest neighbours and their distance in Å.
Element x y z (fractional)
1 Hf 0.1052 0.6250 0.9802  2 Os 2.58, 2 Cr 2.77
2 Hf 0.3750 0.3552 0.4802  2 Os 2.58, 2 Cr 2.77
3 Hf 0.6448 0.1250 0.0198  2 Os 2.58, 2 Cr 2.77
4 Hf 0.8750 0.8948 0.5198  2 Os 2.58, 2 Cr 2.77
5 Cr 0.2500 0.7500 0.5000  4 Hf 2.77, 2 Os 2.91
6 Cr 0.5000 0.5000 0.0000  4 Hf 2.77, 2 Os 2.91
7 Os 0.0000 0.0000 0.0000  4 Hf 2.58
8 Os 0.7500 0.2500 0.5000  4 Hf 2.58



> What is the size of the total moment in the second record?

3.2 μB per formula unit